[1]
LiCaPmAg | GGA-PBE | optimized geometry

Results
DOS at the Fermi energy, states/eV per atom: 0.766
Total magnetic moment, μB per cell: 0.0
Formation energy, meV per atom: -113

Lattice parameters (Å, degrees): 7.4850 7.4850 7.4850 90.00 90.00 90.00
Last column: nearest neighbours and their distance in Å.
Space group F-43m (No. 216)
One atom of each set of equivalent atoms:
Li1 0.0000 0.0000 0.0000 (multiplicity 4)  4 Ca 3.24, 4 Pm 3.24
Ca1 0.2500 0.2500 0.2500 (multiplicity 4)  4 Li 3.24, 4 Ag 3.24
Pm1 0.2500 0.2500 0.7500 (multiplicity 4)  4 Li 3.24, 4 Ag 3.24
Ag1 0.0000 0.0000 0.5000 (multiplicity 4)  4 Ca 3.24, 4 Pm 3.24

---

[2]
LiCaAgPt | GGA-PBE | optimized geometry

Results
DOS at the Fermi energy, states/eV per atom: 0.305
Total magnetic moment, μB per cell: 0.0
Formation energy, meV per atom: -483

Lattice parameters (Å, degrees): 7.7642 4.4864 5.3840 90.00 118.81 90.00
Last column: nearest neighbours and their distance in Å.
Space group Cm (No. 8)
One atom of each set of equivalent atoms:
Li1 0.0000 0.0000 0.0000 (multiplicity 2)  3 Pt 2.62, 3 Ag 2.73
Ca1 0.4828 0.0000 0.4486 (multiplicity 2)  4 Ag 2.99-3.11, 4 Pt 3.03-3.09, 3 Li 3.34-3.35
Ag1 0.2716 0.0000 0.8152 (multiplicity 2)  3 Li 2.73, 3 Pt 2.89-2.90, 1 Ca 2.99
Pt1 0.1967 0.5000 0.0904 (multiplicity 2)  3 Li 2.62, 3 Ag 2.89-2.90

---

[3]
RbLiCaAg2 | GGA-PBE | optimized geometry

Results
DOS at the Fermi energy, states/eV per atom: 0.791
Total magnetic moment, μB per cell: 0.0
Formation energy, meV per atom: 260

Lattice parameters (Å, degrees): 5.2542 5.2542 5.2298 90.00 90.00 90.00
Last column: nearest neighbours and their distance in Å.
Space group P4/mmm (No. 123)
One atom of each set of equivalent atoms:
Rb1 0.0000 0.0000 0.0000 (multiplicity 1)  2 Li 2.61
Li1 0.0000 0.0000 0.5000 (multiplicity 1)  2 Rb 2.61, 4 Ag 2.63
Ca1 0.5000 0.5000 0.0000 (multiplicity 1)  8 Ag 3.71, 4 Rb 3.72
Ag1 0.0000 0.5000 0.5000 (multiplicity 2)  2 Li 2.63

---

[4]
RbLiCa2Ag | GGA-PBE | optimized geometry

Results
DOS at the Fermi energy, states/eV per atom: 0.658
Total magnetic moment, μB per cell: 0.0
Formation energy, meV per atom: 54

Lattice parameters (Å, degrees): 5.9244 5.9244 5.6770 90.00 90.00 90.00
Last column: nearest neighbours and their distance in Å.
Space group P4/mmm (No. 123)
One atom of each set of equivalent atoms:
Rb1 0.0000 0.0000 0.0000 (multiplicity 1)  8 Ca 4.10, 4 Li 4.19
Li1 0.5000 0.5000 0.0000 (multiplicity 1)  2 Ag 2.84
Ca1 0.0000 0.5000 0.5000 (multiplicity 2)  2 Ag 2.96
Ag1 0.5000 0.5000 0.5000 (multiplicity 1)  2 Li 2.84, 4 Ca 2.96